# GGA+U MnZnO3, relaxed
data_MnZnO3
_chemical_formula_sum 'Mn1 Zn1 O3'
_symmetry_space_group_name_H-M 'P m -3 m'
_symmetry_Int_Tables_number 221
_symmetry_space_group_name_Hall '-P 4 2 3'
_cell_length_a 3.701
_cell_length_b 3.701
_cell_length_c 3.701
_cell_angle_alpha 90.00
_cell_angle_beta 90.00
_cell_angle_gamma 90.00
loop_
_atom_site_label
_atom_site_fract_x
_atom_site_fract_y
_atom_site_fract_z
Mn1 0.000 0.000 0.000
Zn1 0.500 0.500 0.500
O1 0.000 0.000 0.500
# - DOS at the Fermi energy: 0.21 states/eV per atom
# - Raw total energy: -27.72 eV/cell
# - Crystal system: cubic